Record 1
Material: MnAsSeBr2
Method: DFT, PBE-GGA
State: optimized geometry Values from VASP.

```
&SYSTEM
  ibrav = 0, nat = 5, ntyp = 4
/
ATOMIC_SPECIES
Se 78.96 Se.upf
Br 79.90 Br.upf
Mn 54.94 Mn.upf
As 74.92 As.upf
CELL_PARAMETERS angstrom
-4.671 0.460 0.373
-0.585 -4.044 -2.339
0.096 -2.487 4.277
ATOMIC_POSITIONS crystal
Se 0.500 0.500 0.500
Br 0.500 0.000 0.000
Br 0.000 0.500 0.000
Mn 0.000 0.000 0.000
As 0.000 0.000 0.500
```

Polymorph energy (0 for the lowest one) = 0.000 eV/atom
ΔE_f (raw) = 0.322 eV per atom
Electronic total energy = -3.81 eV/atom
Symmetry = P4/mmm, No. 123

Record 2
Material: Li3PmRu4O12
Method: DFT, PBE-GGA
State: optimized geometry Values from VASP.

```
&SYSTEM
  ibrav = 0, nat = 20, ntyp = 4
/
ATOMIC_SPECIES
Pm 145.00 Pm.upf
Li 6.94 Li.upf
O 16.00 O.upf
Ru 101.07 Ru.upf
CELL_PARAMETERS angstrom
6.521 0.000 0.000
-2.174 6.148 0.000
-2.174 -3.074 5.325
ATOMIC_POSITIONS crystal
Pm 0.000 0.000 0.000
Li 0.500 0.000 0.500
Li 0.500 0.500 0.000
Li 0.000 0.500 0.500
O 0.525 0.704 0.820
O 0.180 0.475 0.296
O 0.820 0.525 0.704
O 0.296 0.180 0.475
O 0.116 0.296 0.820
O 0.180 0.884 0.704
O 0.475 0.296 0.180
O 0.884 0.704 0.180
O 0.704 0.820 0.525
O 0.704 0.180 0.884
O 0.296 0.820 0.116
O 0.820 0.116 0.296
Ru 0.000 0.000 0.500
Ru 0.500 0.500 0.500
Ru 0.500 0.000 0.000
Ru 0.000 0.500 0.000
```

ΔE_f (raw) = -1.477 eV per atom
Electronic total energy = -6.83 eV/atom
Symmetry = Im-3, No. 204

Record 3
Material: Pu6ZrS8
Method: DFT, PBE-GGA
State: optimized geometry Values from VASP.

```
&SYSTEM
  ibrav = 0, nat = 15, ntyp = 3
/
ATOMIC_SPECIES
S 32.06 S.upf
Pu 244.00 Pu.upf
Zr 91.22 Zr.upf
CELL_PARAMETERS angstrom
6.801 0.000 3.927
2.267 6.413 3.927
0.000 0.000 7.854
ATOMIC_POSITIONS crystal
S 0.759 0.241 0.241
S 0.750 0.750 0.750
S 0.759 0.759 0.241
S 0.241 0.241 0.759
S 0.241 0.759 0.241
S 0.759 0.241 0.759
S 0.241 0.759 0.759
S 0.250 0.250 0.250
Pu 0.000 0.000 0.500
Pu 0.500 0.500 0.000
Pu 0.000 0.500 0.000
Pu 0.000 0.500 0.500
Pu 0.500 0.000 0.000
Pu 0.500 0.000 0.500
Zr 0.000 0.000 0.000
```

ΔE_f (raw) = -1.727 eV per atom
Electronic total energy = -10.23 eV/atom
Symmetry = Fm-3m, No. 225

Record 4
Material: CrRhBr2
Method: DFT, PBE-GGA
State: optimized geometry Values from VASP.

```
&SYSTEM
  ibrav = 0, nat = 4, ntyp = 3
/
ATOMIC_SPECIES
Rh 102.91 Rh.upf
Br 79.90 Br.upf
Cr 52.00 Cr.upf
CELL_PARAMETERS angstrom
4.833 -4.478 5.136
5.011 -6.361 2.053
7.153 -3.487 2.543
ATOMIC_POSITIONS crystal
Rh 0.000 0.000 0.000
Br 0.101 0.101 0.101
Br 0.899 0.899 0.899
Cr 0.500 0.500 0.500
```

Polymorph energy (0 for the lowest one) = 0.346 eV/atom
ΔE_f (raw) = 0.276 eV per atom
Electronic total energy = -4.80 eV/atom
Symmetry = R-3m, No. 166

Record 5
Material: Sn3GeCl
Method: DFT, PBE-GGA
State: optimized geometry Values from VASP.

```
&SYSTEM
  ibrav = 0, nat = 5, ntyp = 3
/
ATOMIC_SPECIES
Sn 118.71 Sn.upf
Ge 72.64 Ge.upf
Cl 35.45 Cl.upf
CELL_PARAMETERS angstrom
5.469 0.000 0.000
0.000 5.469 0.000
0.000 0.000 5.469
ATOMIC_POSITIONS crystal
Sn 0.000 0.500 0.000
Sn 0.000 0.000 0.500
Sn 0.500 0.000 0.000
Ge 0.000 0.000 0.000
Cl 0.500 0.500 0.500
```

Polymorph energy (0 for the lowest one) = 0.000 eV/atom
ΔE_f (raw) = 0.342 eV per atom
Electronic total energy = -3.35 eV/atom
Symmetry = Pm-3m, No. 221

Record 6
Material: Ca2BePt3
Method: DFT, PBE-GGA
State: optimized geometry Values from VASP.

```
&SYSTEM
  ibrav = 0, nat = 6, ntyp = 3
/
ATOMIC_SPECIES
Ca 40.08 Ca.upf
Pt 195.08 Pt.upf
Be 9.01 Be.upf
CELL_PARAMETERS angstrom
4.633 -0.048 2.092
1.332 4.438 2.092
-0.065 -0.048 5.083
ATOMIC_POSITIONS crystal
Ca 0.374 0.374 0.374
Ca 0.626 0.626 0.626
Pt 0.000 0.500 0.000
Pt 0.500 0.000 0.000
Pt 0.000 0.000 0.500
Be 0.000 0.000 0.000
```

Electronic total energy = -5.19 eV/atom
Symmetry = R-3m, No. 166
Calculated formation energy = -0.88 eV/atom

Record 7
Material: TlRe2Se
Method: DFT, PBE-GGA
State: optimized geometry Values from VASP.

```
&SYSTEM
  ibrav = 0, nat = 4, ntyp = 3
/
ATOMIC_SPECIES
Re 186.21 Re.upf
Tl 204.38 Tl.upf
Se 78.96 Se.upf
CELL_PARAMETERS angstrom
-2.894 2.850 1.216
-0.076 -1.200 2.632
4.483 4.027 1.232
ATOMIC_POSITIONS crystal
Re 0.000 0.183 0.038
Re 0.000 0.317 0.462
Tl 0.500 0.750 0.750
Se 0.500 0.250 0.250
```

Polymorph energy (0 for the lowest one) = 0.732 eV/atom
ΔE_f (raw) = 1.113 eV per atom
Electronic total energy = -6.57 eV/atom
Symmetry = P2/m, No. 10

Record 8
Material: IrC3
Method: DFT, PBE-GGA
State: optimized geometry Values from VASP.

```
&SYSTEM
  ibrav = 0, nat = 4, ntyp = 2
/
ATOMIC_SPECIES
C 12.01 C.upf
Ir 192.22 Ir.upf
CELL_PARAMETERS angstrom
-0.738 -1.783 2.925
-1.766 -2.490 -1.962
2.723 -2.803 1.107
ATOMIC_POSITIONS crystal
C 0.724 0.768 0.736
C 0.724 0.391 0.736
C 0.592 0.080 0.003
Ir 0.947 0.080 0.289
```

Polymorph energy (0 for the lowest one) = 0.229 eV/atom
Electronic total energy = -8.19 eV/atom
Symmetry = Pm, No. 6
Calculated formation energy = 0.95 eV/atom

Number 1: total magnetization 2.68 μB per formula unit. Number 2: total magnetization 9.01 μB per formula unit. Number 3: total magnetization 33.28 μB per formula unit. Number 4: total magnetization 3.00 μB per formula unit. Number 5: total magnetization 0.00 μB per formula unit. Number 6: total magnetization 0.00 μB per formula unit. Number 7: total magnetization 0.00 μB per formula unit. Number 8: total magnetization 0.00 μB per formula unit.